(1)
# PBE SrCu6Sb2, relaxed
# Uncorrected formation energy   -0.177 eV per atom
# SG   P4/mmm, No. 123
data_SrCu6Sb2
_cell_length_a 4.301
_cell_length_b 4.301
_cell_length_c 9.070
_cell_angle_alpha 90.00
_cell_angle_beta 90.00
_cell_angle_gamma 90.00
_symmetry_space_group_name_H-M 'P 1'
_symmetry_Int_Tables_number 1
loop_
_symmetry_equiv_pos_as_xyz
'x,y,z'
loop_
_atom_site_label
_atom_site_fract_x
_atom_site_fract_y
_atom_site_fract_z
Sr1 0.000 0.000 0.000
Cu1 0.000 0.500 0.353
Cu2 0.500 0.000 0.353
Cu3 0.000 0.500 0.647
Cu4 0.500 0.000 0.647
Cu5 0.500 0.500 0.500
Cu6 0.000 0.000 0.500
Sb1 0.500 0.500 0.188
Sb2 0.500 0.500 0.812



(2)
# PBE DyHoSN, relaxed
# Uncorrected formation energy   -1.866 eV per atom
# SG   R3m, No. 160
data_DyHoSN
_cell_length_a 3.609
_cell_length_b 3.609
_cell_length_c 6.590
_cell_angle_alpha 74.11
_cell_angle_beta 74.11
_cell_angle_gamma 60.00
_symmetry_space_group_name_H-M 'P 1'
_symmetry_Int_Tables_number 1
loop_
_symmetry_equiv_pos_as_xyz
'x,y,z'
loop_
_atom_site_label
_atom_site_fract_x
_atom_site_fract_y
_atom_site_fract_z
Dy1 0.514 0.514 0.459
Ho1 0.986 0.986 0.042
S1 0.749 0.749 0.752
N1 0.251 0.251 0.248



(3)
# PBE KSbSI2, relaxed
# Uncorrected formation energy   -0.573 eV per atom
# SG   P4/mmm, No. 123
data_KSbSI2
_cell_length_a 6.207
_cell_length_b 6.207
_cell_length_c 5.106
_cell_angle_alpha 90.00
_cell_angle_beta 90.00
_cell_angle_gamma 90.00
_symmetry_space_group_name_H-M 'P 1'
_symmetry_Int_Tables_number 1
loop_
_symmetry_equiv_pos_as_xyz
'x,y,z'
loop_
_atom_site_label
_atom_site_fract_x
_atom_site_fract_y
_atom_site_fract_z
I1 0.000 0.500 0.000
I2 0.500 0.000 0.000
Sb1 0.000 0.000 0.000
K1 0.500 0.500 0.500
S1 0.000 0.000 0.500



(4)
# PBE PmPr2NdDy4, relaxed
# E_form   14.9 meV/atom
# SG   P2/m, No. 10
data_PmPr2NdDy4
_cell_length_a 3.631
_cell_length_b 6.272
_cell_length_c 11.899
_cell_angle_alpha 79.74
_cell_angle_beta 90.00
_cell_angle_gamma 90.00
_symmetry_space_group_name_H-M 'P 1'
_symmetry_Int_Tables_number 1
loop_
_symmetry_equiv_pos_as_xyz
'x,y,z'
loop_
_atom_site_label
_atom_site_fract_x
_atom_site_fract_y
_atom_site_fract_z
Pm1 0.500 0.500 0.000
Pr1 0.000 0.000 0.000
Pr2 0.500 0.000 0.500
Nd1 0.000 0.500 0.500
Dy1 0.000 0.750 0.751
Dy2 0.000 0.250 0.249
Dy3 0.500 0.749 0.250
Dy4 0.500 0.251 0.750



| no. | magnetic moment (μB/f.u.) | D(E_F) (states/eV per cell) |
| --- | --- | --- |
| 1 | 0.0 | 2.599 |
| 2 | 0.0 | 1.148 |
| 3 | 0.0 | 0.825 |
| 4 | 0.0 | 10.366 |